! Ba2Zn15Cd2 | the Alexandria database | PBE | relaxed; values from VASP
&SYSTEM
  ibrav = 0, nat = 19, ntyp = 3
/
ATOMIC_SPECIES
Zn 65.41 Zn.upf
Cd 112.41 Cd.upf
Ba 137.33 Ba.upf
ATOMIC_POSITIONS crystal
Zn 0.5000 0.0000 0.0000
Zn 0.8408 0.3450 0.3450
Cd 0.1038 0.1038 0.1038
Zn 0.0000 0.0000 0.5000
Ba 0.6557 0.6557 0.6557
Zn 0.6550 0.6550 0.1592
Zn 0.1592 0.6550 0.6550
Ba 0.3443 0.3443 0.3443
Zn 0.0000 0.5000 0.0000
Zn 0.2897 0.7103 0.0000
Zn 0.6550 0.1592 0.6550
Zn 0.0000 0.2897 0.7103
Zn 0.3450 0.8408 0.3450
Zn 0.3450 0.3450 0.8408
Zn 0.7103 0.2897 0.0000
Zn 0.0000 0.7103 0.2897
Cd 0.8962 0.8962 0.8962
Zn 0.7103 0.0000 0.2897
Zn 0.2897 0.0000 0.7103
CELL_PARAMETERS angstrom
-5.2850 -3.0812 3.7232
3.0132 -6.4722 0.5639
2.8624 0.9534 6.4950
! Space group: R-3m (166)
! VASP energy, eV/cell: -27.429
! Formation energy, eV/atom: -0.139



! BaZn4Cd8 | the Alexandria database | PBE | relaxed; values from VASP
&SYSTEM
  ibrav = 0, nat = 13, ntyp = 3
/
ATOMIC_SPECIES
Zn 65.41 Zn.upf
Cd 112.41 Cd.upf
Ba 137.33 Ba.upf
ATOMIC_POSITIONS crystal
Zn 0.5000 0.0000 0.5000
Zn 0.5000 0.5000 0.0000
Zn 0.0000 0.5000 0.0000
Cd 0.3518 0.6482 0.6482
Ba 0.0000 0.0000 0.0000
Cd 0.6482 0.3518 0.3518
Zn 0.0000 0.0000 0.5000
Cd 0.0000 0.3518 0.6482
Cd 0.5000 0.2228 0.7772
Cd 0.7228 0.7772 0.7772
Cd 0.0000 0.6482 0.3518
Cd 0.2772 0.2228 0.2228
Cd 0.5000 0.7772 0.2228
CELL_PARAMETERS angstrom
-0.9633 5.5765 0.5880
-7.2874 1.4755 1.5939
0.9280 2.3050 7.1868
! Space group: I4/mmm (139)
! VASP energy, eV/cell: -15.777
! Formation energy, eV/atom: -0.111



! Ba2ZnCd | the Alexandria database | PBE | relaxed; values from VASP
&SYSTEM
  ibrav = 0, nat = 4, ntyp = 3
/
ATOMIC_SPECIES
Zn 65.41 Zn.upf
Cd 112.41 Cd.upf
Ba 137.33 Ba.upf
ATOMIC_POSITIONS crystal
Zn 0.7500 0.2500 0.5000
Cd 0.5000 0.5000 0.0000
Ba 0.2500 0.7500 0.5000
Ba 0.0000 0.0000 0.0000
CELL_PARAMETERS angstrom
6.2622 -0.1753 0.0000
2.1235 5.8938 0.0000
-4.1928 -2.8592 3.6730
! Polymorph energy (0 for the lowest one), meV per atom: 168
! Space group: I-4m2 (119)
! VASP energy, eV/cell: -6.300
! Formation energy, eV/atom: -0.066